Entry 1:
VPd3Rh (PBE-GGA, optimized geometry); DFT formation energy = 1280 meV per atom; V = 21.8 Å³ per atom; offset from the most stable computed form = 1265 meV per atom; density of states at the Fermi level = 11.28 states/eV/cell; symmetry = Pm-3m
1.0
-1.946 -4.276 -0.863
2.768 -1.941 3.374
-3.371 0.875 3.269
Rh Pd V
1 3 1
Direct
0.000 0.000 0.000
0.000 0.500 0.000
0.000 0.000 0.500
0.500 0.000 0.000
0.500 0.500 0.500

---

Entry 2:
PdRh2W (PBE-GGA, optimized geometry); DFT formation energy = -93 meV per atom; V = 14.7 Å³ per atom; offset from the most stable computed form = 94 meV per atom; density of states at the Fermi level = 2.79 states/eV/cell; symmetry = P4/mmm
1.0
-3.541 0.309 1.312
-0.702 -3.748 -1.012
1.216 -1.188 3.560
Rh Pd W
2 1 1
Direct
0.000 0.000 0.500
0.000 0.500 0.000
0.500 0.000 0.000
0.500 0.500 0.500

---

Entry 3:
PdRh2W (PBE-GGA, optimized geometry); DFT formation energy = -188 meV per atom; V = 14.7 Å³ per atom; offset from the most stable computed form = 0 meV per atom; density of states at the Fermi level = 4.77 states/eV/cell; symmetry = Pmmn
1.0
-0.507 -2.496 3.588
-2.150 -3.345 -2.631
4.962 -2.418 -0.981
Pd Rh W
2 4 2
Direct
0.000 0.334 0.500
0.500 0.666 0.000
0.500 0.175 0.252
0.500 0.175 0.748
0.000 0.825 0.752
0.000 0.825 0.248
0.500 0.678 0.500
0.000 0.322 0.000

---

Entry 4:
PdRh3W2 (PBE-GGA, optimized geometry); DFT formation energy = 238 meV per atom; V = 16.7 Å³ per atom; density of states at the Fermi level = 9.24 states/eV/cell; symmetry = Cmc2_1
1.0
-1.523 -1.835 -4.882
-3.538 -4.881 2.938
-2.372 6.080 -1.545
Pd Rh W
2 6 4
Direct
0.571 0.969 0.969
0.071 0.031 0.031
0.529 0.224 0.769
0.029 0.231 0.776
0.368 0.370 0.370
0.868 0.630 0.630
0.029 0.776 0.231
0.529 0.769 0.224
0.785 0.187 0.434
0.285 0.566 0.813
0.285 0.813 0.566
0.785 0.434 0.187

---

Entry 5:
PdRh2W (PBE-GGA, optimized geometry); DFT formation energy = -142 meV per atom; V = 14.8 Å³ per atom; offset from the most stable computed form = 45 meV per atom; density of states at the Fermi level = 3.36 states/eV/cell; symmetry = Pmmm
1.0
3.825 0.000 0.000
0.000 6.223 0.619
0.000 0.971 2.588
Pd Rh W
1 2 1
Direct
0.500 0.250 0.250
0.000 0.994 0.007
0.000 0.506 0.493
0.500 0.750 0.750

---

Entry 6:
PdRhW (PBE-GGA, optimized geometry); DFT formation energy = -90 meV per atom; V = 15.2 Å³ per atom; offset from the most stable computed form = 76 meV per atom; density of states at the Fermi level = 3.16 states/eV/cell; symmetry = I4mm
1.0
2.778 0.000 0.000
0.000 2.778 0.000
-1.389 -1.389 5.895
Rh W Pd
1 1 1
Direct
0.326 0.326 0.652
0.671 0.671 0.341
0.004 0.004 0.007

---

no.,M_tot (μB/cell)
1,5.08
2,0.00
3,0.00
4,0.00
5,0.00
6,0.00